[1]
LaTa2Br: relaxed, PBE.

a = 3.4757 Å, b = 3.4757 Å, c = 8.2524 Å
α = 90.00°, β = 90.00°, γ = 90.00°
Fractional coordinates of all 4 atoms:
La (0.5000, 0.5000, 0.7705)
Br (0.0000, 0.0000, 0.5047)
Ta (0.0000, 0.0000, 0.0382)
Ta (0.5000, 0.5000, 0.1867)

Output
DOS(E_F), states/eV per atom: 0.9680
Symmetry: P4mm, No. 99
Energy, eV per atom: -7.562
Crystal system: tetragonal

[2]
LiGd3: relaxed, PBE.

a = 7.0130 Å, b = 7.0130 Å, c = 5.6290 Å
α = 90.00°, β = 90.00°, γ = 120.00°
Fractional coordinates of all 8 atoms:
Li (0.6667, 0.3333, 0.2500)
Li (0.3333, 0.6667, 0.7500)
Gd (0.8308, 0.1692, 0.7500)
Gd (0.3384, 0.1692, 0.7500)
Gd (0.8308, 0.6616, 0.7500)
Gd (0.1692, 0.8308, 0.2500)
Gd (0.6616, 0.8308, 0.2500)
Gd (0.1692, 0.3384, 0.2500)

Output
DOS(E_F), states/eV per atom: 2.0111
ΔE_f, eV/atom: 0.15
Symmetry: P6_3/mmc, No. 194
Crystal system: hexagonal

[3]
PrGa2I5: relaxed, PBE.

a = 8.2752 Å, b = 12.0865 Å, c = 9.0099 Å
α = 65.88°, β = 62.66°, γ = 69.98°
Fractional coordinates of all 16 atoms:
Pr (0.9512, 0.7834, 0.3145)
Pr (0.9509, 0.2834, 0.8145)
Ga (0.5851, 0.5802, 0.2964)
Ga (0.3162, 0.9874, 0.3328)
Ga (0.5383, 0.0802, 0.7964)
Ga (0.3637, 0.4874, 0.8328)
I (0.7210, 0.3264, 0.5919)
I (0.9782, 0.6394, 0.0815)
I (0.1810, 0.2410, 0.0367)
I (0.3607, 0.8264, 0.0919)
I (0.3010, 0.1394, 0.5815)
I (0.5413, 0.7410, 0.5367)
I (0.6009, 0.4272, 0.0479)
I (0.9240, 0.9272, 0.5479)
I (0.7911, 0.0334, 0.0644)
I (0.1112, 0.5334, 0.5644)

Output
DOS(E_F), states/eV per atom: 0.0000
Symmetry: Cc, No. 9
Energy, eV per atom: -3.189
Crystal system: monoclinic

[4]
AcZnCu2Pd4: relaxed, PBE.

a = 4.3345 Å, b = 4.3345 Å, c = 9.0229 Å
α = 76.10°, β = 76.10°, γ = 60.00°
Fractional coordinates of all 8 atoms:
Ac (0.0000, 0.0000, 0.0000)
Zn (0.5000, 0.5000, 0.5000)
Cu (0.7628, 0.7628, 0.7115)
Cu (0.2372, 0.2372, 0.2885)
Pd (0.4033, 0.4033, 0.7902)
Pd (0.8687, 0.8687, 0.3939)
Pd (0.1313, 0.1313, 0.6061)
Pd (0.5967, 0.5967, 0.2098)

Output
DOS(E_F), states/eV per atom: 0.3536
ΔE_f, eV/atom: -0.45
Symmetry: R-3m, No. 166
Crystal system: trigonal